(1)
DFT (PBE) results for an optimized crystal structure of Na2Cd2Ir.

a = 5.3296 Å, b = 5.3296 Å, c = 5.3296 Å
α = 121.72°, β = 121.72°, γ = 87.04°
Atoms (fractional coordinates):
Na: 0.1430 0.1430 0.0000
Na: 0.8570 0.8570 0.0000
Cd: 0.2500 0.7500 0.5000
Cd: 0.7500 0.2500 0.5000
Ir: 0.5000 0.5000 0.0000

Its excess energy over the best structure of this formula in the dataset is 0.425 eV/atom. The calculation puts the final energy at -10.156 eV per cell. Its space-group type is No. 139. The value obtained for the formation energy is 61.2 kJ/mol of atoms.

***

(2)
DFT (PBE) results for an optimized crystal structure of PmBi2TeO4.

a = 3.9387 Å, b = 3.9387 Å, c = 10.2196 Å
α = 90.00°, β = 90.00°, γ = 90.00°
Atoms (fractional coordinates):
Pm: 0.0000 0.0000 0.0000
Bi: 0.5000 0.5000 0.2509
Bi: 0.5000 0.5000 0.7491
Te: 0.0000 0.0000 0.5000
O: 0.0000 0.5000 0.1424
O: 0.0000 0.5000 0.8576
O: 0.5000 0.0000 0.1424
O: 0.5000 0.0000 0.8576

The calculation puts the final energy at -49.416 eV per cell. Its space-group type is No. 123. The formation energy from raw total energies is -168 kJ per mole of atoms.

***

(3)
DFT (PBE) results for an optimized crystal structure of Ti2NbAs.

a = 8.0137 Å, b = 8.0137 Å, c = 8.0137 Å
α = 23.35°, β = 23.35°, γ = 23.35°
Atoms (fractional coordinates):
Ti: 0.2414 0.2414 0.2414
Ti: 0.7586 0.7586 0.7586
Nb: 0.0000 0.0000 0.0000
As: 0.5000 0.5000 0.5000

The calculation puts the final energy at -31.418 eV per cell. Its space-group type is No. 166. The value obtained for the formation energy is -21.9 kJ/mol of atoms.

***

(4)
DFT (PBE) results for an optimized crystal structure of KIr2Rh.

a = 4.5778 Å, b = 4.5778 Å, c = 4.5778 Å
α = 60.00°, β = 60.00°, γ = 60.00°
Atoms (fractional coordinates):
K: 0.0000 0.0000 0.0000
Ir: 0.5000 0.5000 0.5000
Ir: 0.7500 0.7500 0.7500
Rh: 0.2500 0.2500 0.2500

Its excess energy over the best structure of this formula in the dataset is 0.696 eV/atom. The calculation puts the final energy at -21.570 eV per cell. Its space-group type is No. 216. The value obtained for the formation energy is 111.0 kJ/mol of atoms.

***

(5)
DFT (PBE) results for an optimized crystal structure of ZrSc4Ag.

a = 3.2314 Å, b = 3.2314 Å, c = 13.1462 Å
α = 90.00°, β = 90.00°, γ = 90.00°
Atoms (fractional coordinates):
Zr: 0.0000 0.0000 0.0000
Sc: 0.0000 0.0000 0.3543
Sc: 0.0000 0.0000 0.6457
Sc: 0.5000 0.5000 0.1688
Sc: 0.5000 0.5000 0.8312
Ag: 0.5000 0.5000 0.5000

Its excess energy over the best structure of this formula in the dataset is 0.000 eV/atom. The calculation puts the final energy at -37.087 eV per cell. Its space-group type is No. 123. The value obtained for the formation energy is -5.8 kJ/mol of atoms.

***

(6)
DFT (PBE) results for an optimized crystal structure of MnV2ZnN.

a = 3.9423 Å, b = 3.9423 Å, c = 3.8471 Å
α = 90.00°, β = 90.00°, γ = 90.00°
Atoms (fractional coordinates):
Mn: 0.0000 0.0000 0.0000
V: 0.0000 0.5000 0.5000
V: 0.5000 0.0000 0.5000
Zn: 0.5000 0.5000 0.0000
N: 0.0000 0.0000 0.5000

The calculation puts the final energy at -38.963 eV per cell. Its space-group type is No. 123. The formation energy from raw total energies is -38 kJ per mole of atoms.

***

(7)
DFT (PBE) results for an optimized crystal structure of CsLiTl2Te2.

a = 4.8502 Å, b = 11.6015 Å, c = 8.3238 Å
α = 90.00°, β = 90.00°, γ = 90.00°
Atoms (fractional coordinates):
Cs: 0.0000 0.0208 0.0000
Cs: 0.0000 0.9792 0.5000
Li: 0.5000 0.2609 0.5815
Li: 0.5000 0.7391 0.0815
Tl: 0.0000 0.3736 0.3458
Tl: 0.0000 0.6264 0.8458
Tl: 0.5000 0.3906 0.9718
Tl: 0.5000 0.6094 0.4718
Te: 0.0000 0.2843 0.7325
Te: 0.0000 0.7157 0.2325
Te: 0.5000 0.1928 0.2646
Te: 0.5000 0.8072 0.7646

The calculation puts the final energy at -35.365 eV per cell. Its space-group type is No. 26. The formation energy from raw total energies is -63 kJ per mole of atoms.

***

(8)
DFT (PBE) results for an optimized crystal structure of Si2PtS.

a = 6.4067 Å, b = 6.4067 Å, c = 6.4067 Å
α = 127.67°, β = 127.67°, γ = 77.16°
Atoms (fractional coordinates):
Si: 0.1119 0.6250 0.9869
Si: 0.3750 0.3619 0.4869
Si: 0.6381 0.1250 0.0131
Si: 0.8750 0.8881 0.5131
Pt: 0.0000 0.0000 0.0000
Pt: 0.7500 0.2500 0.5000
S: 0.2500 0.7500 0.5000
S: 0.5000 0.5000 0.0000

The calculation puts the final energy at -43.828 eV per cell. Its space-group type is No. 122. The formation energy from raw total energies is -22 kJ per mole of atoms.

***

(9)
DFT (PBE) results for an optimized crystal structure of SiTePb.

a = 3.8121 Å, b = 3.8121 Å, c = 13.9680 Å
α = 91.03°, β = 91.03°, γ = 60.33°
Atoms (fractional coordinates):
Si: 0.0000 0.0000 0.0000
Si: 0.0125 0.0125 0.3067
Te: 0.3516 0.3516 0.4169
Te: 0.6716 0.6716 0.1113
Pb: 0.3305 0.3305 0.8339
Pb: 0.9879 0.9879 0.6537

Its excess energy over the best structure of this formula in the dataset is 0.000 eV/atom. The calculation puts the final energy at -23.390 eV per cell. Its space-group type is No. 8. The formation energy from raw total energies is 19 kJ per mole of atoms.

***

(10)
DFT (PBE) results for an optimized crystal structure of MgTl2HgN.

a = 5.5496 Å, b = 5.5496 Å, c = 5.2209 Å
α = 90.00°, β = 90.00°, γ = 90.00°
Atoms (fractional coordinates):
Mg: 0.0000 0.0000 0.0000
Tl: 0.0000 0.5000 0.0000
Tl: 0.5000 0.0000 0.0000
Hg: 0.0000 0.0000 0.5000
N: 0.5000 0.5000 0.5000

The calculation puts the final energy at -8.192 eV per cell. Its space-group type is No. 123. The formation energy from raw total energies is 131 kJ per mole of atoms.

***

(11)
DFT (PBE) results for an optimized crystal structure of Ce7TlPt2.

a = 8.0548 Å, b = 8.0548 Å, c = 5.3905 Å
α = 90.00°, β = 90.00°, γ = 110.36°
Atoms (fractional coordinates):
Ce: 0.0000 0.0000 0.0000
Ce: 0.2095 0.4192 0.0000
Ce: 0.2201 0.7799 0.5000
Ce: 0.4192 0.2095 0.0000
Ce: 0.5808 0.7905 0.0000
Ce: 0.7799 0.2201 0.5000
Ce: 0.7905 0.5808 0.0000
Tl: 0.5000 0.5000 0.5000
Pt: 0.2125 0.7875 0.0000
Pt: 0.7875 0.2125 0.0000

The calculation puts the final energy at -57.771 eV per cell. Its space-group type is No. 65. The value obtained for the formation energy is -17.2 kJ/mol of atoms.

***

(12)
DFT (PBE) results for an optimized crystal structure of H3Os.

a = 2.6902 Å, b = 5.3564 Å, c = 5.4386 Å
α = 72.32°, β = 75.75°, γ = 88.29°
Atoms (fractional coordinates):
H: 0.0184 0.1907 0.4400
H: 0.3477 0.7670 0.8370
H: 0.3931 0.2339 0.6900
H: 0.6069 0.7661 0.3100
H: 0.6523 0.2330 0.1630
H: 0.9816 0.8093 0.5600
Os: 0.1427 0.9993 0.2155
Os: 0.8573 0.0007 0.7845

Its excess energy over the best structure of this formula in the dataset is 0.001 eV/atom. The calculation puts the final energy at -40.775 eV per cell. Its space-group type is No. 2.

***

(13)
DFT (PBE) results for an optimized crystal structure of Ba2SCl.

a = 8.3633 Å, b = 8.3633 Å, c = 8.3633 Å
α = 30.90°, β = 30.90°, γ = 30.90°
Atoms (fractional coordinates):
Ba: 0.0000 0.0000 0.0000
Ba: 0.1862 0.1862 0.1862
S: 0.5950 0.5950 0.5950
Cl: 0.4240 0.4240 0.4240

Its excess energy over the best structure of this formula in the dataset is 0.044 eV/atom. The calculation puts the final energy at -17.521 eV per cell. Its space-group type is No. 160. The formation energy from raw total energies is -186 kJ per mole of atoms.

***

(14)
DFT (PBE) results for an optimized crystal structure of LiRu2Pt2.

a = 7.7309 Å, b = 7.7309 Å, c = 2.7075 Å
α = 90.00°, β = 90.00°, γ = 90.00°
Atoms (fractional coordinates):
Li: 0.0000 0.0000 0.0000
Li: 0.5000 0.5000 0.0000
Ru: 0.1748 0.3252 0.5000
Ru: 0.3252 0.8252 0.5000
Ru: 0.6748 0.1748 0.5000
Ru: 0.8252 0.6748 0.5000
Pt: 0.1237 0.6237 0.0000
Pt: 0.3763 0.1237 0.0000
Pt: 0.6237 0.8763 0.0000
Pt: 0.8763 0.3763 0.0000

Its excess energy over the best structure of this formula in the dataset is 0.107 eV/atom. The calculation puts the final energy at -63.453 eV per cell. Its space-group type is No. 127. The value obtained for the formation energy is 15.8 kJ/mol of atoms.

***

(15)
DFT (PBE) results for an optimized crystal structure of Zr5Ti2Sb5.

a = 7.1196 Å, b = 7.1196 Å, c = 11.3153 Å
α = 113.06°, β = 113.06°, γ = 33.66°
Atoms (fractional coordinates):
Zr: 0.0000 0.0000 0.0000
Zr: 0.1669 0.1669 0.5304
Zr: 0.2260 0.2260 0.8397
Zr: 0.7740 0.7740 0.1603
Zr: 0.8331 0.8331 0.4696
Ti: 0.4288 0.4288 0.6917
Ti: 0.5712 0.5712 0.3083
Sb: 0.1901 0.1901 0.2770
Sb: 0.3920 0.3920 0.0887
Sb: 0.5000 0.5000 0.5000
Sb: 0.6080 0.6080 0.9113
Sb: 0.8099 0.8099 0.7230

The calculation puts the final energy at -83.764 eV per cell. Its space-group type is No. 12. The formation energy from raw total energies is -37 kJ per mole of atoms.

***

(16)
DFT (PBE) results for an optimized crystal structure of VCrAs2.

a = 6.2796 Å, b = 6.2796 Å, c = 6.2796 Å
α = 32.83°, β = 32.83°, γ = 32.83°
Atoms (fractional coordinates):
V: 0.0000 0.0000 0.0000
Cr: 0.1695 0.1695 0.1695
As: 0.5829 0.5829 0.5829
As: 0.7506 0.7506 0.7506

Its excess energy over the best structure of this formula in the dataset is 0.135 eV/atom. The calculation puts the final energy at -28.844 eV per cell. Its space-group type is No. 160. The value obtained for the formation energy is -19.4 kJ/mol of atoms.

***

(17)
DFT (PBE) results for an optimized crystal structure of SmCuO2.

a = 6.1007 Å, b = 6.1007 Å, c = 6.1007 Å
α = 35.16°, β = 35.16°, γ = 35.16°
Atoms (fractional coordinates):
Sm: 0.0000 0.0000 0.0000
Cu: 0.5000 0.5000 0.5000
O: 0.3937 0.3937 0.3937
O: 0.6063 0.6063 0.6063

The calculation puts the final energy at -27.957 eV per cell. Its space-group type is No. 166. The formation energy from raw total energies is -223 kJ per mole of atoms.

***

(18)
DFT (PBE) results for an optimized crystal structure of YTi2B.

a = 6.3832 Å, b = 6.3832 Å, c = 6.3832 Å
α = 119.85°, β = 119.85°, γ = 90.26°
Atoms (fractional coordinates):
Y: 0.0000 0.0000 0.0000
Y: 0.7500 0.2500 0.5000
Ti: 0.3117 0.1250 0.6867
Ti: 0.3750 0.6883 0.8133
Ti: 0.4383 0.6250 0.3133
Ti: 0.8750 0.5617 0.1867
B: 0.2500 0.7500 0.5000
B: 0.5000 0.5000 0.0000

The calculation puts the final energy at -52.913 eV per cell. Its space-group type is No. 122. The value obtained for the formation energy is 59.7 kJ/mol of atoms.

***

(19)
DFT (PBE) results for an optimized crystal structure of Sc3TlH.

a = 5.9493 Å, b = 6.0495 Å, c = 6.2483 Å
α = 98.13°, β = 95.25°, γ = 118.21°
Atoms (fractional coordinates):
Sc: 0.0000 0.0000 0.0000
Sc: 0.0053 0.4568 0.6697
Sc: 0.4862 0.4593 0.4688
Sc: 0.4931 0.0136 0.7990
Sc: 0.5347 0.9708 0.2974
Sc: 0.9584 0.5052 0.1741
Tl: 0.0121 0.9452 0.5036
Tl: 0.4659 0.5126 0.9720
H: 0.6185 0.2302 0.5706
H: 0.7522 0.1203 0.0719

Its excess energy over the best structure of this formula in the dataset is 0.039 eV/atom. The calculation puts the final energy at -52.763 eV per cell. Its space-group type is No. 1.

***

(20)
DFT (PBE) results for an optimized crystal structure of HfI3Cl.

a = 8.4063 Å, b = 8.4063 Å, c = 8.4063 Å
α = 121.20°, β = 107.92°, γ = 100.03°
Atoms (fractional coordinates):
Hf: 0.0000 0.0000 0.0000
Hf: 0.0000 0.5000 0.5000
I: 0.1915 0.4416 0.2501
I: 0.1915 0.9415 0.7499
I: 0.2790 0.5000 0.7790
I: 0.7210 0.5000 0.2210
I: 0.8085 0.0585 0.2501
I: 0.8085 0.5584 0.7499
Cl: 0.2394 0.0000 0.2394
Cl: 0.7606 0.0000 0.7606

Its excess energy over the best structure of this formula in the dataset is 0.000 eV/atom. The calculation puts the final energy at -43.540 eV per cell. Its space-group type is No. 71. The formation energy from raw total energies is -103 kJ per mole of atoms.